Entry 1:
The following is a GGA-PBE calculation of crystalline KTl2Ru at its relaxed geometry, from Alexandria.

abc: 5.1894 5.1894 3.5590
angles: 90.00 90.00 90.27
Fractional positions:
K  0.0000  0.0000  0.0000
Tl  0.0000  0.5000  0.5000
Tl  0.5000  0.0000  0.5000
Ru  0.5000  0.5000  0.0000

Values from the calculation:
E_tot = -3.062 eV/atom
formation enthalpy at 0 K = 2.858 eV/f.u.

Entry 2:
The following is a GGA-PBE calculation of crystalline MoPt2Br at its relaxed geometry, from Alexandria.

abc: 5.8117 5.8117 5.8117
angles: 151.27 132.14 56.79
Fractional positions:
Mo  0.0000  0.0000  0.0000
Pt  0.2294  0.7294  0.5000
Pt  0.7706  0.2706  0.5000
Br  0.5000  0.5000  0.0000

Values from the calculation:
E_tot = -5.700 eV/atom
energy above the most stable polymorph in this dataset = 0.399 eV per atom
uncorrected formation energy = 1.78 eV per formula unit

Entry 3:
The following is a GGA-PBE calculation of crystalline Pr3YTm3 at its relaxed geometry, from Alexandria.

abc: 9.6526 9.6526 5.7766
angles: 90.00 90.00 120.00
Fractional positions:
Pr  0.0475  0.2444  0.2500
Pr  0.1969  0.9525  0.2500
Pr  0.2444  0.1969  0.7500
Pr  0.7556  0.8031  0.2500
Pr  0.8031  0.0475  0.7500
Pr  0.9525  0.7556  0.7500
Y  0.3333  0.6667  0.2500
Y  0.6667  0.3333  0.7500
Tm  0.0949  0.4799  0.7500
Tm  0.3850  0.9051  0.7500
Tm  0.4799  0.3850  0.2500
Tm  0.5201  0.6150  0.7500
Tm  0.6150  0.0949  0.2500
Tm  0.9051  0.5201  0.2500

Values from the calculation:
E_tot = -4.865 eV/atom
energy above the most stable polymorph in this dataset = 0.000 eV per atom
formation enthalpy at 0 K = 0.163 eV/f.u.

Entry 4:
The following is a GGA-PBE calculation of crystalline Tb2Ce3SmSe6 at its relaxed geometry, from Alexandria.

abc: 7.1816 7.1816 7.2613
angles: 99.49 99.49 120.05
Fractional positions:
Tb  0.1669  0.8331  0.0000
Tb  0.8331  0.1669  0.0000
Ce  0.0000  0.0000  0.5000
Ce  0.3353  0.6647  0.5000
Ce  0.6647  0.3353  0.5000
Sm  0.5000  0.5000  0.0000
Se  0.0815  0.4190  0.7571
Se  0.2427  0.2427  0.2408
Se  0.4190  0.0815  0.7571
Se  0.5810  0.9185  0.2429
Se  0.7573  0.7573  0.7592
Se  0.9185  0.5810  0.2429

Values from the calculation:
E_tot = -6.205 eV/atom
uncorrected formation energy = -21.78 eV per formula unit

Entry 5:
The following is a GGA-PBE calculation of crystalline Cd2HgTe at its relaxed geometry, from Alexandria.

abc: 2.9564 6.1417 6.2080
angles: 90.00 90.77 90.00
Fractional positions:
Cd  0.0000  0.0000  0.0000
Cd  0.0076  0.5000  0.4995
Hg  0.4991  0.5000  0.0000
Te  0.0025  0.0000  0.4999

Values from the calculation:
E_tot = -1.300 eV/atom
energy above the most stable polymorph in this dataset = 0.132 eV per atom
uncorrected formation energy = 0.07 eV per formula unit

Entry 6:
The following is a GGA-PBE calculation of crystalline Tm8AlFe2 at its relaxed geometry, from Alexandria.

abc: 7.6658 7.6658 5.2106
angles: 97.69 97.69 112.07
Fractional positions:
Tm  0.0612  0.3287  0.5771
Tm  0.2471  0.7529  0.0000
Tm  0.3287  0.0612  0.5771
Tm  0.3809  0.3809  0.1972
Tm  0.6191  0.6191  0.8028
Tm  0.6713  0.9388  0.4229
Tm  0.7529  0.2471  0.0000
Tm  0.9388  0.6713  0.4229
Al  0.0000  0.0000  0.0000
Fe  0.3151  0.6849  0.5000
Fe  0.6849  0.3151  0.5000

Values from the calculation:
E_tot = -5.170 eV/atom
formation enthalpy at 0 K = -0.428 eV/f.u.

Entry 7:
The following is a GGA-PBE calculation of crystalline Sr3La4Se8 at its relaxed geometry, from Alexandria.

abc: 8.7191 8.7191 8.7121
angles: 119.81 119.81 90.12
Fractional positions:
Sr  0.0000  0.0000  0.0000
Sr  0.0000  0.5000  0.0000
Sr  0.5000  0.0000  0.0000
La  0.0000  0.5000  0.5000
La  0.5000  0.0000  0.5000
La  0.5000  0.5000  0.0000
La  0.5000  0.5000  0.5000
Se  0.2517  0.7483  0.0000
Se  0.2541  0.7459  0.5000
Se  0.2553  0.2553  0.5053
Se  0.2616  0.2616  0.0137
Se  0.7384  0.7384  0.9863
Se  0.7447  0.7447  0.4947
Se  0.7459  0.2541  0.5000
Se  0.7483  0.2517  0.0000

Values from the calculation:
E_tot = -5.510 eV/atom
uncorrected formation energy = -30.02 eV per formula unit

Entry 8:
The following is a GGA-PBE calculation of crystalline Li2VPt at its relaxed geometry, from Alexandria.

abc: 4.2810 4.2810 4.2810
angles: 60.00 60.00 60.00
Fractional positions:
Li  0.2500  0.2500  0.2500
Li  0.7500  0.7500  0.7500
V  0.0000  0.0000  0.0000
Pt  0.5000  0.5000  0.5000

Values from the calculation:
E_tot = -4.726 eV/atom
energy above the most stable polymorph in this dataset = 0.033 eV per atom
formation enthalpy at 0 K = 0.085 eV/f.u.

no.,ρ (g/cm3)
1,9.5
2,13.5
3,7.3
4,7.4
5,8.1
6,9.0
7,5.1
8,7.8